Below is a relaxed structure of GaC, with properties calculated at the PBE level.

POSCAR file:
```
GaC
1.0
-3.134 4.208 2.351
-2.706 -3.857 3.295
3.989 0.690 4.082
C Ga
6 6
direct
0.500 0.750 0.000
0.000 0.500 0.750
0.500 0.250 0.000
0.250 0.000 0.500
0.750 0.000 0.500
0.000 0.500 0.250
0.750 0.500 0.000
0.250 0.500 0.000
0.000 0.250 0.500
0.000 0.750 0.500
0.500 0.000 0.750
0.500 0.000 0.250
```

Properties
Its relative energy among the computed polymorphs is 0.883 eV/atom. The formation energy from the elements is 1.12 eV per atom. As for the symmetry: No. 223.

---

Below is a relaxed structure of LaP3N, with properties calculated at the PBE level.

POSCAR file:
```
LaP3N
1.0
-2.201 -3.196 1.911
0.025 -2.233 -3.704
3.724 -1.874 1.155
La P N
1 3 1
direct
0.500 0.500 0.500
0.000 0.500 0.000
0.000 0.000 0.500
0.500 0.000 0.000
0.000 0.000 0.000
```

Properties
Its relative energy among the computed polymorphs is 0.000 eV/atom. For the uncorrected formation energy, the calculation gives 8 kJ/mol of atoms. As for the symmetry: No. 221.

---

Below is a relaxed structure of LaAsN2, with properties calculated at the PBE level.

POSCAR file:
```
LaAsN2
1.0
1.815 0.000 6.990
-0.908 1.572 6.990
-0.908 -1.572 6.990
As N La
1 2 1
direct
0.500 0.500 0.500
0.883 0.883 0.883
0.117 0.117 0.117
0.000 0.000 0.000
```

Properties
For the uncorrected formation energy, the calculation gives 50 kJ/mol of atoms. As for the symmetry: No. 166.

---

Below is a relaxed structure of Tb2YAl6, with properties calculated at the PBE level.

POSCAR file:
```
Tb2YAl6
1.0
3.504 0.000 0.000
0.000 6.851 -3.955
0.000 0.000 7.911
Al Y Tb
6 1 2
direct
0.500 0.667 0.000
0.500 0.333 0.333
0.500 0.000 0.667
0.500 0.667 0.667
0.500 0.000 0.333
0.500 0.333 0.000
0.000 0.000 0.000
0.000 0.667 0.333
0.000 0.333 0.667
```

Properties
The formation energy from the elements is -0.51 eV per atom. As for the symmetry: No. 191.

---

Below is a relaxed structure of La3Tb6ErTm2, with properties calculated at the PBE level.

POSCAR file:
```
La3Tb6ErTm2
1.0
-5.880 -0.958 -1.894
4.484 -4.069 -1.554
-0.725 -0.988 13.067
La Tb Tm Er
3 6 2 1
direct
0.500 0.500 0.500
0.833 0.167 0.500
0.167 0.833 0.500
0.753 0.420 0.755
0.913 0.913 0.245
0.247 0.580 0.245
0.087 0.087 0.755
0.420 0.753 0.755
0.580 0.247 0.245
0.333 0.667 0.000
0.667 0.333 0.000
0.000 0.000 0.000
```

Properties
The formation energy from the elements is 0.00 eV per atom. As for the symmetry: No. 12.

---

Below is a relaxed structure of HfNb6Mo, with properties calculated at the PBE level.

POSCAR file:
```
HfNb6Mo
1.0
-0.947 -0.786 -7.413
5.419 -3.103 -4.194
0.260 -4.053 -3.415
Nb Hf Mo
6 1 1
direct
0.755 0.000 0.744
0.245 0.000 0.256
0.500 0.245 0.255
0.000 0.501 0.744
0.000 0.499 0.256
0.500 0.755 0.745
0.500 0.500 0.500
0.000 0.000 0.000
```

Properties
The formation energy from the elements is 0.06 eV per atom. As for the symmetry: No. 2.

---

Below is a relaxed structure of TmW3N6, with properties calculated at the PBE level.

POSCAR file:
```
TmW3N6
1.0
3.022 -0.009 0.011
-0.033 8.446 -2.001
0.035 -0.640 8.686
W N Tm
6 12 2
direct
0.783 0.852 0.433
0.269 0.924 0.833
0.731 0.076 0.167
0.755 0.519 0.679
0.217 0.148 0.567
0.245 0.481 0.321
0.258 0.736 0.281
0.246 0.240 0.207
0.263 0.912 0.607
0.242 0.907 0.075
0.248 0.535 0.851
0.748 0.612 0.475
0.742 0.264 0.719
0.737 0.088 0.393
0.754 0.760 0.793
0.752 0.465 0.149
0.758 0.093 0.925
0.252 0.388 0.525
0.747 0.693 0.053
0.253 0.307 0.947
```

Properties
For the uncorrected formation energy, the calculation gives -54 kJ/mol of atoms. As for the symmetry: No. 2.

---

Below is a relaxed structure of Re2SiPt, with properties calculated at the PBE level.

POSCAR file:
```
Re2SiPt
1.0
-2.824 -1.060 3.404
-1.087 -2.131 -1.566
3.771 -2.555 0.858
Re Pt Si
2 1 1
direct
0.962 0.500 0.593
0.429 0.000 0.484
0.558 0.500 0.010
0.014 0.000 0.053
```

Properties
For the uncorrected formation energy, the calculation gives -14 kJ/mol of atoms. As for the symmetry: No. 6.

---

Below is a relaxed structure of SrZrPO2, with properties calculated at the PBE level.

POSCAR file:
```
SrZrPO2
1.0
4.189 0.000 0.000
0.000 4.189 0.000
0.000 0.000 5.781
O Zr Sr P
2 1 1 1
direct
0.500 0.000 0.000
0.000 0.500 0.000
0.500 0.500 0.500
0.000 0.000 0.000
0.000 0.000 0.500
```

Properties
Its relative energy among the computed polymorphs is 1.737 eV/atom. For the uncorrected formation energy, the calculation gives -27 kJ/mol of atoms. As for the symmetry: No. 123.

---

Below is a relaxed structure of DyYCu2, with properties calculated at the PBE level.

POSCAR file:
```
DyYCu2
1.0
3.756 0.000 -0.040
0.000 4.468 0.000
-1.866 0.000 5.183
Dy Cu Y
1 2 1
direct
0.442 0.500 0.425
0.155 0.500 0.846
0.010 0.000 0.561
0.724 0.000 0.986
```

Properties
Its relative energy among the computed polymorphs is 0.000 eV/atom. The formation energy from the elements is -0.25 eV per atom. As for the symmetry: No. 6.

---

Below is a relaxed structure of TaTeSe2, with properties calculated at the PBE level.

POSCAR file:
```
TaTeSe2
1.0
3.554 0.000 0.000
0.000 5.567 0.090
0.000 3.606 5.210
Ta Se Te
1 2 1
direct
0.500 0.250 0.250
0.000 0.045 0.095
0.000 0.455 0.405
0.500 0.750 0.750
```

Properties
For the uncorrected formation energy, the calculation gives -30 kJ/mol of atoms. As for the symmetry: No. 10.

---

Below is a relaxed structure of Ac4RhBr5, with properties calculated at the PBE level.

POSCAR file:
```
Ac4RhBr5
1.0
-0.248 -3.908 1.852
3.520 3.515 7.891
-8.962 4.038 2.255
Ac Br Rh
4 5 1
direct
0.000 0.781 0.000
0.347 0.001 0.694
0.653 0.999 0.306
0.000 0.219 0.000
0.163 0.749 0.327
0.837 0.751 0.674
0.163 0.249 0.326
0.500 0.500 0.000
0.837 0.251 0.673
0.500 0.000 0.000
```

Properties
Its relative energy among the computed polymorphs is 0.011 eV/atom. For the uncorrected formation energy, the calculation gives -144 kJ/mol of atoms. As for the symmetry: No. 12.